Material: Be2Ni2Rh
Method: DFT, PBE
State: optimized geometry

Results
Its formation energy is -32 kJ/mol of atoms. For the density, the calculation gives 7.81 g/cm³. Its space group is P4/mbm (127). As for the uncorrected energy: -56.0 eV per cell. The value obtained for the volume is 51 Å³/f.u.

Cell lengths 6.202, 6.202, 2.635 Å; angles 90.00, 90.00, 90.00 degrees
Positions (direct):
Be (0.368, 0.868, 0.000)
Be (0.132, 0.368, 0.000)
Be (0.868, 0.632, 0.000)
Be (0.632, 0.132, 0.000)
Ni (0.161, 0.661, 0.500)
Ni (0.339, 0.161, 0.500)
Ni (0.839, 0.339, 0.500)
Ni (0.661, 0.839, 0.500)
Rh (0.500, 0.500, 0.000)
Rh (0.000, 0.000, 0.000)

Material: Be2Ni2Rh
Method: DFT, PBE
State: optimized geometry

Results
Its formation energy is 1 kJ/mol of atoms. For the density, the calculation gives 7.33 g/cm³. Its space group is I4/mmm (139). As for the uncorrected energy: -26.3 eV per cell. The value obtained for the volume is 54 Å³/f.u.

Cell lengths 3.786, 3.786, 4.622 Å; angles 65.83, 65.83, 90.00 degrees
Positions (direct):
Be (0.250, 0.750, 0.500)
Be (0.750, 0.250, 0.500)
Ni (0.643, 0.643, 0.713)
Ni (0.357, 0.357, 0.287)
Rh (0.000, 0.000, 0.000)

Material: BeNi4Rh
Method: DFT, PBE
State: optimized geometry

Results
Its formation energy is 14 kJ/mol of atoms. For the density, the calculation gives 8.26 g/cm³. Its space group is F-43m (216). As for the uncorrected energy: -33.4 eV per cell. The value obtained for the volume is 70 Å³/f.u.

Cell lengths 4.620, 4.620, 4.620 Å; angles 60.00, 60.00, 60.00 degrees
Positions (direct):
Ni (0.375, 0.876, 0.375)
Ni (0.375, 0.375, 0.375)
Ni (0.876, 0.375, 0.375)
Ni (0.375, 0.375, 0.876)
Be (0.000, 0.000, 0.000)
Rh (0.750, 0.750, 0.750)

Material: Be6NiRh
Method: DFT, PBE
State: optimized geometry

Results
Its formation energy is -36 kJ/mol of atoms. For the density, the calculation gives 4.96 g/cm³. Its space group is Pmm2 (25). As for the uncorrected energy: -38.5 eV per cell. The value obtained for the volume is 72 Å³/f.u.

Cell lengths 3.700, 4.208, 4.637 Å; angles 90.00, 90.00, 90.00 degrees
Positions (direct):
Be (0.500, 0.849, 0.263)
Be (0.000, 0.158, 0.250)
Be (0.000, 0.662, 0.500)
Be (0.500, 0.849, 0.737)
Be (0.500, 0.314, 0.000)
Be (0.000, 0.158, 0.750)
Ni (0.500, 0.353, 0.500)
Rh (0.000, 0.656, 0.000)

Material: Be4Ni3Rh
Method: DFT, PBE
State: optimized geometry

Results
Its formation energy is -49 kJ/mol of atoms. For the density, the calculation gives 6.91 g/cm³. Its space group is P4/mmm (123). As for the uncorrected energy: -43.6 eV per cell. The value obtained for the volume is 76 Å³/f.u.

Cell lengths 2.686, 2.686, 10.490 Å; angles 90.00, 90.00, 90.00 degrees
Positions (direct):
Be (0.000, 0.000, 0.867)
Be (0.000, 0.000, 0.378)
Be (0.000, 0.000, 0.133)
Be (0.000, 0.000, 0.622)
Ni (0.500, 0.500, 0.258)
Ni (0.500, 0.500, 0.500)
Ni (0.500, 0.500, 0.742)
Rh (0.500, 0.500, 0.000)

Material: Be17NiRh
Method: DFT, PBE
State: optimized geometry

Results
Its formation energy is -15 kJ/mol of atoms. For the density, the calculation gives 3.30 g/cm³. Its space group is R3m (160). As for the uncorrected energy: -79.3 eV per cell. The value obtained for the volume is 158 Å³/f.u.

Cell lengths 5.463, 5.463, 5.463 Å; angles 81.75, 81.75, 81.75 degrees
Positions (direct):
Be (0.003, 0.692, 0.307)
Be (0.307, 0.692, 0.003)
Be (0.347, 0.840, 0.347)
Be (0.998, 0.501, 0.998)
Be (0.652, 0.164, 0.652)
Be (0.164, 0.652, 0.652)
Be (0.692, 0.003, 0.307)
Be (0.901, 0.901, 0.901)
Be (0.307, 0.003, 0.692)
Be (0.692, 0.307, 0.003)
Be (0.347, 0.347, 0.840)
Be (0.100, 0.100, 0.100)
Be (0.652, 0.652, 0.164)
Be (0.998, 0.998, 0.501)
Be (0.003, 0.307, 0.692)
Be (0.840, 0.347, 0.347)
Be (0.501, 0.998, 0.998)
Ni (0.326, 0.326, 0.326)
Rh (0.672, 0.672, 0.672)